PBE Sc7Bi3C2, relaxed; space group = Cmmm (65); E_form = -644 meV per atom; DFT total energy = -82.1 eV/cell; DOS at the Fermi energy = 9.08 states/eV/cell
1.0
-3.246 -1.914 2.501
3.174 -2.181 2.451
-1.144 10.314 6.410
Sc Bi C
7 3 2
direct
0.500 0.096 0.191
0.000 0.594 0.188
0.500 0.904 0.809
0.000 0.191 0.381
0.000 0.406 0.812
0.000 0.000 0.000
0.000 0.809 0.619
0.500 0.689 0.378
0.500 0.500 0.000
0.500 0.311 0.622
0.000 0.903 0.806
0.000 0.097 0.194

---

PBE TlReF6, relaxed; space group = R-3m (166); DFT total energy = -42.8 eV/cell; DOS at the Fermi energy = 9.55 states/eV/cell; formation energy from raw total energies = -2.09 eV/atom; E above lowest polymorph = 0.023 eV/atom
1.0
5.643 0.000 0.000
2.822 4.887 0.000
2.822 1.629 5.304
Tl F Re
1 6 1
direct
0.500 0.500 0.500
0.388 0.913 0.786
0.087 0.612 0.214
0.913 0.388 0.786
0.087 0.087 0.214
0.612 0.087 0.214
0.913 0.913 0.786
0.000 0.000 0.000

---

- What is the formula in the second record?
  TlReF6